1.
TbPr3Ag | PBE-GGA | relaxed

extended XYZ file:
```
10
Lattice="7.302 -0.077 -0.505 -2.072 7.003 0.505 -3.300 -2.946 6.857" Properties=species:S:1:pos:R:3 pbc="T T T"
Tb 2.330 -1.760 4.924
Tb -0.400 5.740 1.933
Pr 0.151 2.111 1.439
Pr 1.780 1.869 5.418
Pr -1.909 1.442 5.663
Pr -1.311 -2.223 5.418
Pr 3.840 2.538 1.194
Pr 3.242 6.203 1.439
Ag 1.828 4.057 3.102
Ag 0.103 -0.077 3.754
```

## Properties
- energy relative to the elements (eV/atom) = 0.057
- volume (A^3/atom) = 34.58



2.
TbPr2Ag5 | PBE-GGA | relaxed

extended XYZ file:
```
8
Lattice="5.166 0.000 0.000 0.000 5.166 0.000 -2.583 -2.583 7.253" Properties=species:S:1:pos:R:3 pbc="T T T"
Pr 2.583 2.583 3.326
Pr 0.000 0.000 3.927
Ag 0.000 2.583 5.648
Ag 2.583 2.583 0.000
Ag 0.000 2.583 1.605
Ag 2.583 0.000 5.648
Ag 2.583 0.000 1.605
Tb 0.000 0.000 0.000
```

## Properties
- energy relative to the elements (eV/atom) = -0.200
- volume (A^3/atom) = 24.20



3.
TbPrAg4 | PBE-GGA | relaxed

extended XYZ file:
```
6
Lattice="-1.072 -2.504 -2.628 -1.077 -1.889 4.977 -7.704 0.409 0.041" Properties=species:S:1:pos:R:3 pbc="T T T"
Ag -5.755 -1.107 2.047
Ag -3.106 -3.420 3.172
Ag -6.715 -0.561 -0.816
Ag -4.066 -2.875 0.309
Pr -8.762 -1.786 1.199
Tb -4.913 -1.684 4.981
```

## Properties
- energy relative to the elements (eV/atom) = -0.265
- volume (A^3/atom) = 22.93



4.
TbPr4Ag5 | PBE-GGA | relaxed

extended XYZ file:
```
10
Lattice="-1.717 3.102 1.121 0.067 -1.231 3.509 16.997 8.454 2.640" Properties=species:S:1:pos:R:3 pbc="T T T"
Pr 3.323 1.653 0.516
Pr 13.674 6.801 2.124
Pr 10.221 5.084 1.588
Pr 6.776 3.370 1.053
Ag 0.713 1.701 2.554
Ag 14.634 8.625 4.716
Ag 7.674 5.163 3.635
Ag 4.232 3.451 3.100
Ag 11.116 6.875 4.170
Tb 0.000 0.000 0.000
```

## Properties
- energy relative to the elements (eV/atom) = -0.259
- volume (A^3/atom) = 26.51



5.
TbPr2AgTe5 | PBE-GGA | relaxed

extended XYZ file:
```
18
Lattice="-2.523 -2.045 -2.993 5.410 -7.272 3.666 -9.287 -2.203 9.334" Properties=species:S:1:pos:R:3 pbc="T T T"
Tb -3.434 -7.247 4.588
Tb 1.514 -3.210 0.916
Pr -5.633 -9.012 7.647
Pr -5.455 -3.354 6.891
Pr 0.233 -7.886 1.933
Pr -1.797 -2.752 3.395
Ag -0.692 -8.171 6.165
Ag -9.608 -4.274 7.761
Te -3.841 -1.657 1.112
Te -1.051 -4.937 1.000
Te -2.819 -9.876 5.865
Te -4.708 -4.499 3.784
Te -0.352 -0.877 0.896
Te -7.465 -6.089 7.194
Te -0.626 -5.832 4.512
Te -6.320 -8.118 10.873
Te -3.830 -6.222 7.479
Te -3.095 -9.989 9.434
```

## Properties
- raw formation energy (kJ per mole of atoms) = -116
- volume (A^3/atom) = 31.20



6.
Tb2PrTl2Ag2 | PBE-GGA | relaxed

extended XYZ file:
```
7
Lattice="4.947 0.000 0.000 2.473 4.284 0.000 2.473 1.428 8.786" Properties=species:S:1:pos:R:3 pbc="T T T"
Ag 4.947 2.856 2.740
Ag 4.947 2.856 6.046
Tb 7.420 4.284 3.518
Tb 2.473 1.428 5.268
Pr 0.000 0.000 0.000
Tl 2.473 1.428 1.859
Tl 7.420 4.284 6.927
```

## Properties
- energy relative to the elements (eV/atom) = -0.193
- volume (A^3/atom) = 26.60



7.
TbPrTmAg | PBE-GGA | relaxed

extended XYZ file:
```
4
Lattice="-1.615 3.075 -1.104 -1.594 0.334 3.260 6.755 4.565 2.836" Properties=species:S:1:pos:R:3 pbc="T T T"
Ag 3.809 2.574 1.599
Tb 3.656 5.260 3.287
Pr 0.506 0.342 0.212
Tm 0.874 3.380 2.119
```

## Properties
- energy relative to the elements (eV/atom) = -0.134
- volume (A^3/atom) = 28.66



8.
TbPrTmAg | PBE-GGA | relaxed

extended XYZ file:
```
4
Lattice="-4.954 2.007 -0.987 -3.239 -2.421 -3.633 -4.410 -2.704 1.668" Properties=species:S:1:pos:R:3 pbc="T T T"
Ag -3.151 -0.779 -0.738
Tb 0.000 0.000 0.000
Tm -9.453 -2.338 -2.214
Pr -6.302 -1.559 -1.476
```

## Properties
- energy relative to the elements (eV/atom) = 0.053
- volume (A^3/atom) = 28.39



9.
Tb2PrTmAg4 | PBE-GGA | relaxed

extended XYZ file:
```
8
Lattice="5.180 0.000 0.000 2.590 4.486 0.000 2.590 1.495 8.531" Properties=species:S:1:pos:R:3 pbc="T T T"
Ag 5.180 2.990 1.199
Ag 2.590 1.495 5.265
Ag 5.180 2.990 7.332
Ag 7.769 4.486 3.267
Pr 0.000 0.000 0.000
Tb 7.769 4.486 6.355
Tb 2.590 1.495 2.177
Tm 5.180 2.990 4.266
```

## Properties
- energy relative to the elements (eV/atom) = -0.295
- volume (A^3/atom) = 24.78



10.
TbPrYAg | PBE-GGA | relaxed

extended XYZ file:
```
4
Lattice="3.652 0.000 0.000 0.000 3.652 0.000 0.000 0.000 8.810" Properties=species:S:1:pos:R:3 pbc="T T T"
Ag 0.000 0.000 5.036
Y 1.826 1.826 3.218
Pr 0.000 0.000 0.616
Tb 1.826 1.826 6.852
```

## Properties
- energy relative to the elements (eV/atom) = -0.134
- volume (A^3/atom) = 29.38



11.
TbPrZnAg | PBE-GGA | relaxed

extended XYZ file:
```
4
Lattice="5.218 0.000 0.000 2.609 4.519 0.000 2.609 1.506 4.261" Properties=species:S:1:pos:R:3 pbc="T T T"
Zn 7.828 4.519 3.196
Pr 5.218 3.013 2.130
Ag 2.609 1.506 1.065
Tb 0.000 0.000 0.000
```

## Properties
- energy relative to the elements (eV/atom) = -0.283
- volume (A^3/atom) = 25.12



12.
TbPrZnAg | PBE-GGA | relaxed

extended XYZ file:
```
4
Lattice="-3.230 -1.630 -0.673 1.670 -2.375 -2.260 1.134 -4.584 5.655" Properties=species:S:1:pos:R:3 pbc="T T T"
Ag -0.635 -2.588 -0.744
Zn -0.111 -4.709 1.872
Tb 0.411 -1.664 2.053
Pr 0.960 -3.882 4.789
```

## Properties
- energy relative to the elements (eV/atom) = -0.305
- volume (A^3/atom) = 24.94